No. 1
PBE-GGA Pm4SmSi2, optimized geometry; E = -74.22 eV/cell
1.0
9.908 0.000 0.000
0.000 9.908 0.000
0.000 0.000 4.038
Pm Sm Si
8 2 4
Cartesian
1.051 3.260 0.000
1.694 6.005 2.019
3.260 1.051 0.000
3.903 8.214 2.019
6.005 1.694 2.019
6.648 8.857 0.000
8.214 3.903 2.019
8.857 6.648 0.000
0.000 0.000 2.019
4.954 4.954 0.000
1.605 8.303 0.000
3.349 3.349 2.019
6.559 6.559 2.019
8.303 1.605 0.000

=====

No. 2
PBE-GGA Nb2V2Pt7, optimized geometry; formation energy = -0.432 eV/atom
1.0
4.793 -4.489 0.000
4.793 4.489 0.000
-2.427 0.000 4.182
Nb V Pt
2 2 7
Cartesian
4.793 2.699 0.000
4.793 -2.699 0.000
2.615 0.000 0.201
4.544 0.000 3.981
-1.214 0.000 2.091
2.321 2.275 1.344
2.203 0.000 2.826
4.838 2.275 2.838
2.321 -2.275 1.344
4.956 0.000 1.356
4.838 -2.275 2.838

=====

| no. | theoretical density (g/cm3) |
| --- | --- |
| 1 | 6.59 |
| 2 | 15.25 |